The following is a PBE calculation of a geometry-optimized ZrTl2Br6 structure, from OQMD.

abc: 7.568 7.568 7.715
angles: 120.07 120.07 59.79
Sites, in units of the cell vectors:
Br (0.706, 0.201, 0.191)
Br (0.201, 0.706, 0.191)
Br (0.238, 0.238, 0.324)
Br (0.762, 0.762, 0.676)
Br (0.799, 0.294, 0.809)
Br (0.294, 0.799, 0.809)
Tl (0.755, 0.755, 0.233)
Tl (0.245, 0.245, 0.767)
Zr (0.000, 0.000, 0.000)

Computed properties:
- E: -3.768 eV per atom
- Relative energy among the computed polymorphs: 0.0 meV/atom
- Symmetry: No. 12
- V: 34.63 Å³ per atom